## LaLuTlCu (GGA-PBE)

Data for a geometry-optimized LaLuTlCu structure.

abc: 5.284 5.284 5.284
angles: 60.00 60.00 60.00
Positions (direct):
1 La 0.000 0.000 0.000
2 Lu 0.500 0.500 0.500
3 Tl 0.250 0.250 0.250
4 Cu 0.750 0.750 0.750

Computed properties:
- Crystal system: cubic
- D(E_F): 2.9 states/eV/cell
- Calculated total energy: -4.192 eV/atom


## La2MgCu9 (GGA-PBE)

Data for a geometry-optimized La2MgCu9 structure.

abc: 9.031 9.031 9.031
angles: 33.13 33.13 33.13
Positions (direct):
1 La 0.137 0.137 0.137
2 La 0.863 0.863 0.863
3 Mg 0.000 0.000 0.000
4 Cu 0.080 0.577 0.577
5 Cu 0.332 0.332 0.332
6 Cu 0.423 0.423 0.920
7 Cu 0.423 0.920 0.423
8 Cu 0.500 0.500 0.500
9 Cu 0.577 0.080 0.577
10 Cu 0.577 0.577 0.080
11 Cu 0.668 0.668 0.668
12 Cu 0.920 0.423 0.423

Computed properties:
- Crystal system: trigonal
- D(E_F): 5.7 states/eV/cell
- Calculated total energy: -4.107 eV/atom


## LaMg2Cu2 (GGA-PBE)

Data for a geometry-optimized LaMg2Cu2 structure.

abc: 5.530 5.530 5.252
angles: 102.09 102.09 44.65
Positions (direct):
1 La 0.000 0.000 0.000
2 Mg 0.347 0.347 0.421
3 Mg 0.653 0.653 0.579
4 Cu 0.275 0.275 0.885
5 Cu 0.725 0.725 0.115

Computed properties:
- Crystal system: monoclinic
- D(E_F): 2.8 states/eV/cell
- Calculated total energy: -3.437 eV/atom


Repeat the first record exactly.
## LaLuTlCu (GGA-PBE)

Data for a geometry-optimized LaLuTlCu structure.

abc: 5.284 5.284 5.284
angles: 60.00 60.00 60.00
Positions (direct):
1 La 0.000 0.000 0.000
2 Lu 0.500 0.500 0.500
3 Tl 0.250 0.250 0.250
4 Cu 0.750 0.750 0.750

Computed properties:
- Crystal system: cubic
- D(E_F): 2.9 states/eV/cell
- Calculated total energy: -4.192 eV/atom